{
  "formula": "HgWI2O",
  "functional": "PBE with a Hubbard U",
  "state": "optimized geometry",
  "total_magnetization_mub_per_fu": 4.4,
  "dft_energy_ev_per_cell": -11.98,
  "lattice_angstrom": [[-0.645, -0.772, 5.990], [-3.388, -4.941, -1.001], [3.361, -2.318, 0.063]],
  "species": ["I", "I", "O", "Hg", "W"],
  "frac_coords": [[0.000, 0.500, 0.000], [0.500, 0.000, 0.000], [0.000, 0.000, 0.500], [0.000, 0.000, 0.000], [0.500, 0.500, 0.500]]
}